# PBE Ac3CePm3S8, relaxed
data_Ac3CePm3S8
_space_group_name_H-M_alt 'P 1'
_space_group_IT_number 1
_cell_length_a 8.232
_cell_length_b 8.232
_cell_length_c 8.394
_cell_angle_alpha 119.37
_cell_angle_beta 90.00
_cell_angle_gamma 120.00
loop_
_space_group_symop_operation_xyz
'x,y,z'
loop_
_atom_site_label
_atom_site_type_symbol
_atom_site_fract_x
_atom_site_fract_y
_atom_site_fract_z
Ac1 Ac 0.000 0.500 0.000
S1 S 0.744 0.488 0.732
Pm1 Pm 0.500 0.000 0.500
S2 S 0.755 0.012 0.267
S3 S 0.257 0.012 0.267
S4 S 0.245 0.490 0.733
S5 S 0.755 0.510 0.267
Ac2 Ac 0.000 0.000 0.000
Ac3 Ac 0.500 0.500 0.000
Pm2 Pm 0.500 0.500 0.500
Ce1 Ce 0.000 0.000 0.500
Pm3 Pm 0.000 0.500 0.500
S6 S 0.256 0.512 0.268
S7 S 0.245 0.988 0.733
S8 S 0.743 0.988 0.733
# Volume = 27.068 A^3/atom
# Formation energy without anion corrections = -30.33 eV/f.u.
# Symmetry = No. 166



# PBE KMnZn2, relaxed
data_KMnZn2
_space_group_name_H-M_alt 'P 1'
_space_group_IT_number 1
_cell_length_a 6.178
_cell_length_b 6.178
_cell_length_c 6.178
_cell_angle_alpha 152.63
_cell_angle_beta 127.78
_cell_angle_gamma 59.96
loop_
_space_group_symop_operation_xyz
'x,y,z'
loop_
_atom_site_label
_atom_site_type_symbol
_atom_site_fract_x
_atom_site_fract_y
_atom_site_fract_z
Zn1 Zn 0.789 0.289 0.500
Mn1 Mn 0.206 0.706 0.500
Zn2 Zn 0.999 0.999 0.000
K1 K 0.506 0.506 0.000
# Polymorph energy (0 for the lowest one) = 199 meV per atom
# Volume = 21.268 A^3/atom
# Symmetry = No. 44



# PBE Nd8Cd2Ag, relaxed
data_Nd8Cd2Ag
_space_group_name_H-M_alt 'P 1'
_space_group_IT_number 1
_cell_length_a 5.514
_cell_length_b 6.792
_cell_length_c 9.617
_cell_angle_alpha 91.59
_cell_angle_beta 106.66
_cell_angle_gamma 90.00
loop_
_space_group_symop_operation_xyz
'x,y,z'
loop_
_atom_site_label
_atom_site_type_symbol
_atom_site_fract_x
_atom_site_fract_y
_atom_site_fract_z
Nd1 Nd 0.033 0.758 0.066
Nd2 Nd 0.674 0.909 0.348
Nd3 Nd 0.967 0.242 0.934
Cd1 Cd 0.148 0.150 0.296
Nd4 Nd 0.592 0.412 0.184
Nd5 Nd 0.788 0.407 0.577
Ag1 Ag 0.500 0.000 0.000
Cd2 Cd 0.852 0.850 0.704
Nd6 Nd 0.326 0.091 0.652
Nd7 Nd 0.408 0.588 0.816
Nd8 Nd 0.212 0.593 0.423
# Polymorph energy (0 for the lowest one) = 0 meV per atom
# Volume = 31.354 A^3/atom
# Symmetry = No. 12



| no. | DOS(E_F) (states/eV per cell) |
| --- | --- |
| 1 | 12.4 |
| 2 | 2.1 |
| 3 | 13.3 |